[1]
This record from the Alexandria database describes an optimized crystal structure of AsAuNF. The functional is PBE-GGA.

a b c (Å): 4.819 4.819 5.781
angles (deg): 108.32 108.32 35.27
Fractional coordinates of all 4 atoms:
As  0.000  0.000  0.000
Au  0.837  0.837  0.384
N  0.621  0.621  0.137
F  0.052  0.052  0.676

Output
Formation energy from raw total energies (eV/atom): -0.24
Polymorph energy (0 for the lowest one) (eV/atom): 0.168
Space group: No. 8

***

[2]
This record from the Alexandria database describes an optimized crystal structure of PPt. The functional is PBE-GGA.

a b c (Å): 4.625 3.681 4.782
angles (deg): 90.00 118.77 90.00
Fractional coordinates of all 4 atoms:
P  0.198  0.250  0.395
P  0.802  0.750  0.605
Pt  0.375  0.750  0.751
Pt  0.625  0.250  0.249

Output
E_form (eV/atom): -0.303
Space group: No. 11

***

[3]
This record from the Alexandria database describes an optimized crystal structure of Nd7Pt2Rh2. The functional is PBE-GGA.

a b c (Å): 9.389 9.389 9.389
angles (deg): 155.36 67.71 118.06
Fractional coordinates of all 11 atoms:
Nd  0.000  0.000  0.000
Nd  0.096  0.405  0.691
Nd  0.155  0.776  0.379
Nd  0.397  0.776  0.621
Nd  0.509  0.620  0.890
Nd  0.714  0.405  0.309
Nd  0.730  0.620  0.110
Pt  0.350  0.111  0.240
Pt  0.871  0.111  0.760
Rh  0.370  0.370  0.000
Rh  0.791  0.291  0.500

Output
E_form (eV/atom): -0.690
Polymorph energy (0 for the lowest one) (eV/atom): 0.000
Space group: No. 44

***

[4]
This record from the Alexandria database describes an optimized crystal structure of Dy6Ho3Sc2. The functional is PBE-GGA.

a b c (Å): 31.192 31.192 31.192
angles (deg): 6.42 6.42 6.42
Fractional coordinates of all 11 atoms:
Dy  0.093  0.093  0.093
Dy  0.182  0.182  0.182
Dy  0.364  0.364  0.364
Dy  0.636  0.636  0.636
Dy  0.818  0.818  0.818
Dy  0.907  0.907  0.907
Ho  0.000  0.000  0.000
Ho  0.271  0.271  0.271
Ho  0.729  0.729  0.729
Sc  0.455  0.455  0.455
Sc  0.545  0.545  0.545

Output
E_form (eV/atom): 0.037
Polymorph energy (0 for the lowest one) (eV/atom): 0.000
Space group: No. 166

***

[5]
This record from the Alexandria database describes an optimized crystal structure of SmHo3Sc2. The functional is PBE-GGA.

a b c (Å): 8.620 8.620 5.446
angles (deg): 90.00 90.00 68.38
Fractional coordinates of all 12 atoms:
Sm  0.228  0.772  0.750
Sm  0.772  0.228  0.250
Ho  0.130  0.390  0.250
Ho  0.390  0.130  0.750
Ho  0.405  0.595  0.250
Ho  0.595  0.405  0.750
Ho  0.610  0.870  0.250
Ho  0.870  0.610  0.750
Sc  0.014  0.200  0.750
Sc  0.200  0.014  0.250
Sc  0.800  0.986  0.750
Sc  0.986  0.800  0.250

Output
E_form (eV/atom): 0.300
Polymorph energy (0 for the lowest one) (eV/atom): 0.150
Space group: No. 63

***

[6]
This record from the Alexandria database describes an optimized crystal structure of HgTe2AsN. The functional is PBE-GGA.

a b c (Å): 5.738 5.738 4.062
angles (deg): 90.00 90.00 90.00
Fractional coordinates of all 5 atoms:
Hg  0.000  0.000  0.000
Te  0.000  0.500  0.000
Te  0.500  0.000  0.000
As  0.500  0.500  0.500
N  0.000  0.000  0.500

Output
Formation energy from raw total energies (eV/atom): 1.32
Polymorph energy (0 for the lowest one) (eV/atom): 0.576
Space group: No. 123

***

[7]
This record from the Alexandria database describes an optimized crystal structure of BaGaP2O. The functional is PBE-GGA.

a b c (Å): 6.321 6.321 4.633
angles (deg): 90.00 90.00 90.00
Fractional coordinates of all 5 atoms:
Ba  0.000  0.000  0.000
Ga  0.500  0.500  0.500
P  0.000  0.500  0.000
P  0.500  0.000  0.000
O  0.000  0.000  0.500

Output
Formation energy from raw total energies (eV/atom): 0.71
Polymorph energy (0 for the lowest one) (eV/atom): 1.032
Space group: No. 123

***

[8]
This record from the Alexandria database describes an optimized crystal structure of AgBi2SbH. The functional is PBE-GGA.

a b c (Å): 5.801 5.801 3.548
angles (deg): 90.00 90.00 90.00
Fractional coordinates of all 5 atoms:
Ag  0.000  0.000  0.000
Bi  0.000  0.500  0.000
Bi  0.500  0.000  0.000
Sb  0.500  0.500  0.500
H  0.000  0.000  0.500

Output
Space group: No. 123

***

[9]
This record from the Alexandria database describes an optimized crystal structure of LiTbGa4Pd2. The functional is PBE-GGA.

a b c (Å): 8.854 8.854 8.854
angles (deg): 28.16 28.16 28.16
Fractional coordinates of all 8 atoms:
Li  0.000  0.000  0.000
Tb  0.500  0.500  0.500
Ga  0.103  0.103  0.103
Ga  0.371  0.371  0.371
Ga  0.629  0.629  0.629
Ga  0.897  0.897  0.897
Pd  0.264  0.264  0.264
Pd  0.736  0.736  0.736

Output
E_form (eV/atom): -0.620
Space group: No. 166

***

[10]
This record from the Alexandria database describes an optimized crystal structure of Li5PuPd6. The functional is PBE-GGA.

a b c (Å): 7.448 7.448 7.448
angles (deg): 147.31 124.74 65.70
Fractional coordinates of all 12 atoms:
Li  0.000  0.000  0.000
Li  0.173  0.673  0.500
Li  0.325  0.325  0.000
Li  0.675  0.675  0.000
Li  0.827  0.327  0.500
Pu  0.500  0.000  0.500
Pd  0.072  0.830  0.242
Pd  0.228  0.500  0.728
Pd  0.412  0.170  0.242
Pd  0.588  0.830  0.758
Pd  0.772  0.500  0.272
Pd  0.928  0.170  0.758

Output
E_form (eV/atom): -0.433
Space group: No. 71

***

[11]
This record from the Alexandria database describes an optimized crystal structure of LaZr2PdF. The functional is PBE-GGA.

a b c (Å): 4.402 4.402 5.646
angles (deg): 90.00 90.00 90.00
Fractional coordinates of all 5 atoms:
La  0.000  0.000  0.000
Zr  0.000  0.500  0.500
Zr  0.500  0.000  0.500
Pd  0.500  0.500  0.000
F  0.500  0.500  0.500

Output
Formation energy from raw total energies (eV/atom): -0.69
Space group: No. 123

***

[12]
This record from the Alexandria database describes an optimized crystal structure of Pm3Al6Ni5. The functional is PBE-GGA.

a b c (Å): 4.137 12.556 9.228
angles (deg): 90.00 90.00 90.00
Fractional coordinates of all 28 atoms:
Pm  0.250  0.050  0.243
Pm  0.250  0.450  0.243
Pm  0.250  0.750  0.274
Pm  0.750  0.250  0.726
Pm  0.750  0.550  0.757
Pm  0.750  0.950  0.757
Al  0.250  0.068  0.578
Al  0.250  0.250  0.037
Al  0.250  0.250  0.414
Al  0.250  0.432  0.578
Al  0.250  0.602  0.985
Al  0.250  0.898  0.985
Al  0.750  0.102  0.015
Al  0.750  0.398  0.015
Al  0.750  0.568  0.422
Al  0.750  0.750  0.586
Al  0.750  0.750  0.963
Al  0.750  0.932  0.422
Ni  0.250  0.094  0.867
Ni  0.250  0.406  0.867
Ni  0.250  0.639  0.548
Ni  0.250  0.750  0.788
Ni  0.250  0.861  0.548
Ni  0.750  0.139  0.452
Ni  0.750  0.250  0.212
Ni  0.750  0.361  0.452
Ni  0.750  0.594  0.133
Ni  0.750  0.906  0.133

Output
E_form (eV/atom): -0.549
Space group: No. 59

***

[13]
This record from the Alexandria database describes an optimized crystal structure of BaTm2AgSe4. The functional is PBE-GGA.

a b c (Å): 7.264 7.264 14.374
angles (deg): 90.00 90.00 145.90
Fractional coordinates of all 16 atoms:
Ba  0.132  0.868  0.750
Ba  0.868  0.132  0.250
Tm  0.377  0.623  0.560
Tm  0.377  0.623  0.940
Tm  0.623  0.377  0.060
Tm  0.623  0.377  0.440
Ag  0.147  0.853  0.250
Ag  0.853  0.147  0.750
Se  0.000  0.000  0.000
Se  0.000  0.000  0.500
Se  0.264  0.736  0.105
Se  0.264  0.736  0.395
Se  0.458  0.542  0.750
Se  0.542  0.458  0.250
Se  0.736  0.264  0.605
Se  0.736  0.264  0.895

Output
Formation energy from raw total energies (eV/atom): -1.51
Space group: No. 63

***

[14]
This record from the Alexandria database describes an optimized crystal structure of NaBeGe2I. The functional is PBE-GGA.

a b c (Å): 4.354 4.354 7.261
angles (deg): 90.00 90.00 90.00
Fractional coordinates of all 5 atoms:
Na  0.000  0.000  0.000
Be  0.000  0.000  0.500
Ge  0.000  0.500  0.500
Ge  0.500  0.000  0.500
I  0.500  0.500  0.000

Output
Formation energy from raw total energies (eV/atom): 0.08
Space group: No. 123

***

[15]
This record from the Alexandria database describes an optimized crystal structure of SmAl2GePd2. The functional is PBE-GGA.

a b c (Å): 4.683 4.683 5.634
angles (deg): 90.00 90.00 90.00
Fractional coordinates of all 6 atoms:
Sm  0.000  0.000  0.000
Al  0.000  0.500  0.500
Al  0.500  0.000  0.500
Ge  0.000  0.000  0.500
Pd  0.500  0.500  0.246
Pd  0.500  0.500  0.754

Output
E_form (eV/atom): -0.215
Space group: No. 123

***

[16]
This record from the Alexandria database describes an optimized crystal structure of KMgOs. The functional is PBE-GGA.

a b c (Å): 6.563 6.563 6.563
angles (deg): 156.36 140.29 46.73
Fractional coordinates of all 3 atoms:
K  0.000  0.000  0.000
Mg  0.274  0.274  0.000
Os  0.709  0.709  0.000

Output
E_form (eV/atom): 0.752
Polymorph energy (0 for the lowest one) (eV/atom): 0.000
Space group: No. 44

***

[17]
This record from the Alexandria database describes an optimized crystal structure of NdSmGe2Pd5. The functional is PBE-GGA.

a b c (Å): 4.295 4.295 9.162
angles (deg): 90.00 90.00 90.00
Fractional coordinates of all 9 atoms:
Nd  0.000  0.000  0.000
Sm  0.000  0.000  0.500
Ge  0.500  0.500  0.365
Ge  0.500  0.500  0.635
Pd  0.000  0.500  0.227
Pd  0.000  0.500  0.773
Pd  0.500  0.000  0.227
Pd  0.500  0.000  0.773
Pd  0.500  0.500  0.000

Output
E_form (eV/atom): -0.806
Space group: No. 123

***

[18]
This record from the Alexandria database describes an optimized crystal structure of In2Cu2Te. The functional is PBE-GGA.

a b c (Å): 8.385 8.385 8.385
angles (deg): 154.65 154.65 36.15
Fractional coordinates of all 5 atoms:
In  0.117  0.117  0.000
In  0.883  0.883  0.000
Cu  0.250  0.750  0.500
Cu  0.750  0.250  0.500
Te  0.500  0.500  0.000

Output
Formation energy from raw total energies (eV/atom): 0.14
Polymorph energy (0 for the lowest one) (eV/atom): 0.065
Space group: No. 139

***

[19]
This record from the Alexandria database describes an optimized crystal structure of RbNa3Pb2. The functional is PBE-GGA.

a b c (Å): 8.117 8.117 6.975
angles (deg): 90.00 90.00 83.55
Fractional coordinates of all 12 atoms:
Rb  0.140  0.860  0.750
Rb  0.860  0.140  0.250
Na  0.051  0.566  0.250
Na  0.434  0.949  0.250
Na  0.497  0.503  0.750
Na  0.503  0.497  0.250
Na  0.566  0.051  0.750
Na  0.949  0.434  0.750
Pb  0.268  0.268  0.000
Pb  0.268  0.268  0.500
Pb  0.732  0.732  0.000
Pb  0.732  0.732  0.500

Output
E_form (eV/atom): -0.090
Space group: No. 63

***

[20]
This record from the Alexandria database describes an optimized crystal structure of NbTeI. The functional is PBE-GGA.

a b c (Å): 6.832 6.832 9.495
angles (deg): 125.08 125.08 30.58
Fractional coordinates of all 6 atoms:
Nb  0.000  0.000  0.000
Nb  0.683  0.683  0.903
Te  0.264  0.264  0.174
Te  0.294  0.294  0.796
I  0.571  0.571  0.274
I  0.979  0.979  0.682

Output
Formation energy from raw total energies (eV/atom): -0.34
Polymorph energy (0 for the lowest one) (eV/atom): 0.161
Space group: No. 8

***

[21]
This record from the Alexandria database describes an optimized crystal structure of Tm6CuRh2. The functional is PBE-GGA.

a b c (Å): 8.246 8.246 8.246
angles (deg): 112.15 111.65 104.72
Fractional coordinates of all 18 atoms:
Tm  0.054  0.243  0.810
Tm  0.177  0.276  0.453
Tm  0.177  0.724  0.901
Tm  0.330  0.023  0.694
Tm  0.330  0.636  0.306
Tm  0.433  0.243  0.190
Tm  0.567  0.757  0.810
Tm  0.670  0.364  0.694
Tm  0.670  0.977  0.306
Tm  0.823  0.276  0.099
Tm  0.823  0.724  0.547
Tm  0.946  0.757  0.190
Cu  0.000  0.000  0.000
Cu  0.500  0.500  0.000
Rh  0.132  0.632  0.500
Rh  0.329  0.000  0.329
Rh  0.671  0.000  0.671
Rh  0.868  0.368  0.500

Output
E_form (eV/atom): -0.508
Space group: No. 71

***

[22]
This record from the Alexandria database describes an optimized crystal structure of Ca2CeAl9. The functional is PBE-GGA.

a b c (Å): 9.490 9.490 9.490
angles (deg): 34.42 34.42 34.42
Fractional coordinates of all 12 atoms:
Ca  0.141  0.141  0.141
Ca  0.859  0.859  0.859
Ce  0.000  0.000  0.000
Al  0.077  0.584  0.584
Al  0.335  0.335  0.335
Al  0.416  0.416  0.923
Al  0.416  0.923  0.416
Al  0.500  0.500  0.500
Al  0.584  0.077  0.584
Al  0.584  0.584  0.077
Al  0.665  0.665  0.665
Al  0.923  0.416  0.416

Output
E_form (eV/atom): -0.293
Space group: No. 166

***

[23]
This record from the Alexandria database describes an optimized crystal structure of LiPr2YHg4. The functional is PBE-GGA.

a b c (Å): 9.250 9.250 9.250
angles (deg): 33.13 33.13 33.13
Fractional coordinates of all 8 atoms:
Li  0.000  0.000  0.000
Pr  0.255  0.255  0.255
Pr  0.745  0.745  0.745
Y  0.500  0.500  0.500
Hg  0.126  0.126  0.126
Hg  0.375  0.375  0.375
Hg  0.625  0.625  0.625
Hg  0.874  0.874  0.874

Output
E_form (eV/atom): -0.460
Space group: No. 166

***

Number 1: raw total energy -4.773 eV/atom. Number 2: raw total energy -6.028 eV/atom. Number 3: raw total energy -6.159 eV/atom. Number 4: raw total energy -4.873 eV/atom. Number 5: raw total energy -4.886 eV/atom. Number 6: raw total energy -2.593 eV/atom. Number 7: raw total energy -3.438 eV/atom. Number 8: raw total energy -3.363 eV/atom. Number 9: raw total energy -4.249 eV/atom. Number 10: raw total energy -5.022 eV/atom. Number 11: raw total energy -6.506 eV/atom. Number 12: raw total energy -5.236 eV/atom. Number 13: raw total energy -4.966 eV/atom. Number 14: raw total energy -3.090 eV/atom. Number 15: raw total energy -4.749 eV/atom. Number 16: raw total energy -3.888 eV/atom. Number 17: raw total energy -5.771 eV/atom. Number 18: raw total energy -3.219 eV/atom. Number 19: raw total energy -2.147 eV/atom. Number 20: raw total energy -5.257 eV/atom. Number 21: raw total energy -5.578 eV/atom. Number 22: raw total energy -3.928 eV/atom. Number 23: raw total energy -2.853 eV/atom.